Below is a relaxed KGeCl3 crystal, with properties calculated at the PBE-GGA level.

Calculated values
* DOS at the Fermi energy: 0.00 states/eV per cell
* E: -3.5402 eV/atom
* uncorrected formation energy: -1289.2 meV per atom
* ρ: 2.2 g/cm³

abc: 10.187 13.813 9.859
angles: 90.00 105.49 90.00
Space group C2/c (No. 15)
Symmetry-distinct sites (fractional):
K  0.000  0.082  0.250
K  0.000  0.291  0.750
Ge  0.163  0.397  0.305
Cl  0.098  0.111  0.592
Cl  0.164  0.274  0.141
Cl  0.173  0.469  0.660